{"formula": "MgBi2MoP", "functional": "SCAN", "state": "PBEsol geometry", "lattice_angstrom": [[5.217, 0.000, 0.000], [0.000, 5.217, 0.000], [0.000, 0.000, 5.140]], "species": ["Mg", "Bi", "Bi", "Mo", "P"], "frac_coords": [[0.000, 0.000, 0.000], [0.000, 0.500, 0.500], [0.500, 0.000, 0.500], [0.000, 0.000, 0.500], [0.500, 0.500, 0.000]], "de_polymorph_mev_per_atom": 0}